VASP calculation (PBE) on a relaxed NaVI2N crystal.

abc: 5.5612 5.5612 4.2219
angles: 90.00 90.00 90.00
With the nearest neighbours (Å) after each atom.
Space group P4/mmm (No. 123)
Asymmetric unit:
1 Na 0.0000 0.0000 0.0000  2 N 2.11
2 V 0.5000 0.5000 0.5000  8 I 3.49
3 I 0.0000 0.5000 0.0000  2 Na 2.78
4 N 0.0000 0.0000 0.5000  2 Na 2.11

Calculated values
* ΔE_f (raw): 37.46 kcal/mol of atoms



VASP calculation (PBE) on a relaxed Nd5Te4Rh crystal.

abc: 4.4240 4.4240 31.7438
angles: 90.00 90.00 90.00
With the nearest neighbours (Å) after each atom.
Space group I4/mmm (No. 139)
Asymmetric unit:
1 Nd 0.0000 0.0000 0.0000  4 Rh 3.13, 2 Te 3.28
2 Nd 0.0000 0.0000 0.2082  6 Te 3.18-3.33
3 Nd 0.0000 0.0000 0.4154  1 Rh 2.68
4 Te 0.0000 0.0000 0.1033  6 Nd 3.18-3.33
5 Te 0.0000 0.0000 0.3091  6 Nd 3.18-3.38
6 Rh 0.0000 0.0000 0.5000  2 Nd 2.68

Calculated values
* ΔE_f (raw): -28.87 kcal/mol of atoms



VASP calculation (PBE) on a relaxed Y2ZrRe crystal.

abc: 3.3388 4.5703 6.4235
angles: 90.00 103.91 90.00
With the nearest neighbours (Å) after each atom.
Space group Pm (No. 6)
Asymmetric unit:
1 Y 0.0000 0.0000 0.0000  1 Re 3.00, 2 Zr 3.18, 4 Y 3.34
2 Y 0.3124 0.5000 0.6937  2 Re 2.92, 1 Zr 3.06
3 Zr 0.6764 0.5000 0.2615  2 Re 2.71
4 Re 0.5107 0.0000 0.4529  2 Zr 2.71, 3 Y 2.92-3.00

Calculated values
* E_tot: -33.1 eV per cell



VASP calculation (PBE) on a relaxed Tb7TlIn4 crystal.

abc: 14.3701 5.7517 11.1486
angles: 90.00 127.15 90.00
With the nearest neighbours (Å) after each atom.
Space group C2/m (No. 12)
Asymmetric unit:
1 Tb 0.0000 0.0000 0.0000  2 Tl 2.88, 4 In 3.08-3.16
2 Tb 0.0697 0.5000 0.3293  5 In 3.12-3.41, 1 Tl 3.17, 2 Tb 3.27-3.43
3 Tb 0.1612 0.0000 0.5959  5 In 3.04-3.36
4 Tb 0.2149 0.5000 0.8706  4 In 3.20-3.37, 2 Tb 3.27-3.42
5 Tl 0.0000 0.5000 0.0000  4 Tb 2.88-3.17
6 In 0.0630 0.0000 0.7731  8 Tb 3.04-3.37, 1 In 3.21
7 In 0.2022 0.0000 0.3394  8 Tb 3.08-3.41, 1 In 3.21

Calculated values
* E_tot: -95.2 eV per cell



VASP calculation (PBE) on a relaxed Pr4NiRhBr2 crystal.

abc: 7.1749 4.1376 8.2089
angles: 90.00 106.99 90.00
With the nearest neighbours (Å) after each atom.
Space group P2/m (No. 10)
Asymmetric unit:
1 Pr 0.2284 0.0000 0.1932  2 Ni 2.82, 1 Rh 2.85
2 Pr 0.2636 0.5000 0.8048  1 Ni 2.81, 2 Rh 2.85
3 Ni 0.0000 0.5000 0.0000  6 Pr 2.81-2.82
4 Rh 0.5000 0.0000 0.0000  6 Pr 2.85
5 Br 0.0000 0.0000 0.5000  6 Pr 3.37-3.38
6 Br 0.5000 0.5000 0.5000  6 Pr 3.40-3.41

Calculated values
* ΔE_f (raw): -21.55 kcal/mol of atoms



VASP calculation (PBE) on a relaxed ScReAs crystal.

abc: 3.2168 3.2168 9.9991
angles: 90.00 90.00 90.00
With the nearest neighbours (Å) after each atom.
Space group I4mm (No. 107)
Asymmetric unit:
1 Sc 0.0000 0.0000 0.0000  5 Re 2.94-3.14, 5 As 3.01-3.03, 4 Sc 3.22
2 Re 0.0000 0.0000 0.3145  4 As 2.56
3 As 0.0000 0.0000 0.6972  4 Re 2.56

Calculated values
* E_tot: -48.7 eV per cell